SiTcMo2 | PBE | optimized geometry

Cell lengths 3.696, 3.696, 9.685 Å; angles 79.00, 79.00, 90.00 degrees
Sites, in units of the cell vectors:
1 Mo 0.598 0.125 0.250
2 Mo 0.152 0.625 0.250
3 Mo 0.375 0.402 0.750
4 Mo 0.875 0.848 0.750
5 Si 0.500 0.500 0.000
6 Si 0.250 0.750 0.500
7 Tc 0.000 0.000 0.000
8 Tc 0.750 0.250 0.500

Computed properties:
- E: -35.70 eV per formula unit
- ΔE_f (raw): 0.437 eV per atom
- SG: I-42d
- V: 15.9 Å³/atom
- Theoretical density: 8.29 g cm⁻³